[1]
A relaxed Sm2Dy5Er12 crystal, computed with PBE.

Cell and atoms, written as extended XYZ:
```
19
Lattice="-9.1127 -0.4974 -0.9291 5.5674 -10.2415 -3.8362 -0.9696 3.4365 7.6700" Properties=species:S:1:pos:R:3 pbc="T T T"
Er -7.2189 -3.4355 -1.5890
Sm -2.8970 -0.1581 -0.2954
Dy 0.0155 -4.2178 2.1063
Er 0.6859 -8.5497 -2.1509
Er -6.6243 -0.9516 2.8553
Dy -0.3923 -1.8152 4.8194
Sm -6.2157 -0.3393 -0.6337
Dy -4.1226 -5.4871 -1.9147
Er 2.1094 -6.3507 0.0494
Er -1.3796 -6.5412 -0.3063
Er 2.7040 -3.8668 4.4937
Er -5.2008 1.2473 5.0556
Dy -4.5303 -3.0846 0.7984
Er -3.1203 -4.1847 3.8999
Er -0.1067 -0.8762 1.5161
Er -4.4081 -6.4262 1.3887
Er -1.3946 -3.1176 -0.9952
Er -3.1353 -0.7612 3.2110
Dy -0.4848 1.7183 3.8350
```

- Density of states at the Fermi level: 27.6 states/eV/f.u.
- Total moment: 0.02 Bohr magnetons per cell
- Distance to the lowest polymorph of the same formula: 109.4 meV/atom
- Space-group type: C2/m
- Formation energy: 0.13 eV/atom

---

[2]
A relaxed Sm5Dy4Er4 crystal, computed with PBE.

Cell and atoms, written as extended XYZ:
```
13
Lattice="4.8731 0.0000 1.2390 2.4366 9.0923 0.6195 0.1961 0.0000 9.4315" Properties=species:S:1:pos:R:3 pbc="T T T"
Dy 4.6993 3.5180 1.9227
Sm 2.9825 2.1144 8.6748
Er 3.6667 6.2732 5.9837
Sm 5.5902 7.6724 8.6212
Er 5.7639 4.1966 7.9383
Sm 4.5232 6.9779 2.6151
Dy 1.0630 0.7054 6.0219
Sm 1.9155 1.4199 2.6687
Dy 6.4428 8.3869 5.2680
Er 3.8390 2.8191 5.3062
Sm 0.0000 0.0000 0.0000
Dy 2.8065 5.5743 9.3673
Er 1.7419 4.8957 3.3516
```

- Density of states at the Fermi level: 17.7 states/eV/f.u.
- Total moment: 0.00 Bohr magnetons per cell
- Space-group type: I4/m
- Formation energy: 0.02 eV/atom

---

[3]
A relaxed Sm5Dy4Er2 crystal, computed with PBE.

Cell and atoms, written as extended XYZ:
```
11
Lattice="-2.9592 -5.5007 -2.9190 3.9931 -4.8683 -2.8091 0.6023 -7.6400 5.8686" Properties=species:S:1:pos:R:3 pbc="T T T"
Sm -0.9006 -7.8070 -2.4541
Dy 0.6620 -7.4407 0.9433
Sm 2.3708 -7.5094 -2.4024
Er 0.6443 -7.8195 4.2423
Dy 1.1752 -13.1441 1.3013
Dy 0.9741 -10.5683 -0.8028
Sm 2.5368 -10.2020 2.5945
Dy 0.4609 -4.8649 -1.1608
Er 0.9918 -10.1895 -4.1018
Sm -0.7347 -10.4996 2.5428
Sm 0.3011 -3.8200 2.9343
```

- Density of states at the Fermi level: 16.4 states/eV/f.u.
- Total moment: 0.00 Bohr magnetons per cell
- Distance to the lowest polymorph of the same formula: 0.0 meV/atom
- Space-group type: C2/m
- Formation energy: 0.18 eV/atom

---

> Look up the total moment of the first one.

0.02 Bohr magnetons per cell